1.
PmCdPt | PBE | relaxed

Results
- DFT formation energy: -0.671 eV/atom
- Energy above the most stable polymorph in this dataset: 141.4 meV per atom
- DFT total energy: -13.7 eV/f.u.
- Total magnetization: 0.0 μB per formula unit

Lattice parameters (Å, degrees): 4.7143 4.7143 3.6490 90.00 90.00 120.00
Fractional coordinates of all 3 atoms:
Pm 0.0000 0.0000 0.0000
Cd 0.6667 0.3333 0.5001
Pt 0.3333 0.6667 0.4987



2.
AcCoSe | PBE | relaxed

Results
- DFT total energy: -17.3 eV/f.u.
- Total magnetization: 1.0 μB per formula unit
- Formation energy (no corrections): -0.87 eV/atom

Lattice parameters (Å, degrees): 6.4042 6.0610 7.7391 90.00 90.48 90.00
Fractional coordinates of all 12 atoms:
Ac 0.2174 0.1316 0.3121
Ac 0.2174 0.3684 0.8121
Ac 0.7826 0.6316 0.1879
Ac 0.7826 0.8684 0.6879
Co 0.1336 0.6107 0.4663
Co 0.1336 0.8893 0.9663
Co 0.8664 0.1107 0.0337
Co 0.8664 0.3893 0.5337
Se 0.2832 0.6270 0.1731
Se 0.2832 0.8730 0.6731
Se 0.7168 0.1270 0.3269
Se 0.7168 0.3730 0.8269



3.
Re2HgCl | PBE | relaxed

Results
- Energy above the most stable polymorph in this dataset: 945.7 meV per atom
- DFT total energy: -22.5 eV/f.u.
- Total magnetization: 0.0 μB per formula unit
- Formation energy (no corrections): 1.13 eV/atom

Lattice parameters (Å, degrees): 2.8169 4.9292 4.9854 90.00 90.00 90.00
Fractional coordinates of all 4 atoms:
Re 0.0000 0.0000 0.0000
Re 0.5000 0.0000 0.5000
Hg 0.0000 0.5000 0.5000
Cl 0.5000 0.5000 0.0000



4.
RbTi2Sn | PBE | relaxed

Results
- DFT formation energy: 0.806 eV/atom
- DFT total energy: -17.5 eV/f.u.
- Total magnetization: 0.0 μB per formula unit

Lattice parameters (Å, degrees): 5.0548 5.0548 20.3840 90.00 90.00 90.00
Fractional coordinates of all 16 atoms:
Rb 0.0000 0.2500 0.3750
Rb 0.0000 0.7500 0.6250
Rb 0.5000 0.2500 0.1250
Rb 0.5000 0.7500 0.8750
Ti 0.0000 0.0000 0.0000
Ti 0.0000 0.5000 0.0000
Ti 0.2500 0.2500 0.7500
Ti 0.2500 0.7500 0.2500
Ti 0.5000 0.0000 0.5000
Ti 0.5000 0.5000 0.5000
Ti 0.7500 0.2500 0.7500
Ti 0.7500 0.7500 0.2500
Sn 0.0000 0.2500 0.8750
Sn 0.0000 0.7500 0.1250
Sn 0.5000 0.2500 0.6250
Sn 0.5000 0.7500 0.3750



5.
SbTe4Pt | PBE | relaxed

Results
- Energy above the most stable polymorph in this dataset: 1028.7 meV per atom
- DFT total energy: -17.7 eV/f.u.
- Total magnetization: 0.0 μB per formula unit
- Formation energy (no corrections): 0.83 eV/atom

Lattice parameters (Å, degrees): 6.1994 6.1994 6.1994 60.00 60.00 60.00
Fractional coordinates of all 6 atoms:
Sb 0.0000 0.0000 0.0000
Te 0.1282 0.6239 0.6239
Te 0.6239 0.1282 0.6239
Te 0.6239 0.6239 0.1282
Te 0.6239 0.6239 0.6239
Pt 0.2500 0.2500 0.2500



6.
Ce2BiS | PBE | relaxed

Results
- Energy above the most stable polymorph in this dataset: 69.9 meV per atom
- DFT total energy: -25.0 eV/f.u.
- Total magnetization: 1.3 μB per formula unit
- Formation energy (no corrections): -1.29 eV/atom

Lattice parameters (Å, degrees): 4.1816 4.1816 22.3315 90.00 90.00 120.00
Fractional coordinates of all 12 atoms:
Ce 0.0000 0.0000 0.0000
Ce 0.0000 0.0000 0.1959
Ce 0.3333 0.6667 0.6667
Ce 0.3333 0.6667 0.8625
Ce 0.6667 0.3333 0.3333
Ce 0.6667 0.3333 0.5292
Bi 0.0000 0.0000 0.7657
Bi 0.3333 0.6667 0.4324
Bi 0.6667 0.3333 0.0990
S 0.0000 0.0000 0.5958
S 0.3333 0.6667 0.2624
S 0.6667 0.3333 0.9291



7.
TaHgTe2 | PBE | relaxed

Results
- DFT total energy: -19.4 eV/f.u.
- Total magnetization: 0.5 μB per formula unit
- Formation energy (no corrections): -0.24 eV/atom

Lattice parameters (Å, degrees): 3.6873 3.6878 10.4666 80.09 79.87 60.01
Fractional coordinates of all 4 atoms:
Ta 0.0000 0.0000 0.0000
Hg 0.1651 0.1714 0.4951
Te 0.6057 0.6096 0.1793
Te 0.7277 0.7238 0.8204



8.
NaInAg2 | PBE | relaxed

Results
- DFT formation energy: 0.011 eV/atom
- DFT total energy: -9.7 eV/f.u.
- Total magnetization: 0.0 μB per formula unit

Lattice parameters (Å, degrees): 3.4358 3.4358 7.2580 90.00 90.00 90.00
Fractional coordinates of all 4 atoms:
Na 0.0000 0.0000 0.0000
In 0.0000 0.0000 0.5000
Ag 0.5000 0.5000 0.2636
Ag 0.5000 0.5000 0.7364



9.
Tm4Ge | PBE | relaxed

Results
- DFT formation energy: -0.002 eV/atom
- DFT total energy: -22.5 eV/f.u.
- Total magnetization: 0.0 μB per formula unit

Lattice parameters (Å, degrees): 5.4265 5.4265 5.4265 90.00 90.00 90.00
Fractional coordinates of all 5 atoms:
Tm 0.0000 0.0000 0.0000
Tm 0.0000 0.5000 0.5000
Tm 0.5000 0.0000 0.5000
Tm 0.5000 0.5000 0.0000
Ge 0.5000 0.5000 0.5000



10.
LiTcS2Cl | PBE | relaxed

Results
- Energy above the most stable polymorph in this dataset: 0.0 meV per atom
- DFT total energy: -24.2 eV/f.u.
- Total magnetization: 0.0 μB per formula unit
- Formation energy (no corrections): -0.36 eV/atom

Lattice parameters (Å, degrees): 4.5477 4.5477 5.2822 90.00 90.00 90.00
Fractional coordinates of all 5 atoms:
Li 0.0000 0.0000 0.0000
Tc 0.5000 0.5000 0.5000
S 0.0000 0.5000 0.5000
S 0.5000 0.0000 0.5000
Cl 0.5000 0.5000 0.0000



11.
TlZnSi2 | PBE | relaxed

Results
- Energy above the most stable polymorph in this dataset: 210.7 meV per atom
- DFT total energy: -12.6 eV/f.u.
- Total magnetization: 0.0 μB per formula unit
- Formation energy (no corrections): 0.47 eV/atom

Lattice parameters (Å, degrees): 3.6727 5.7788 8.0439 90.00 90.00 90.00
Fractional coordinates of all 8 atoms:
Tl 0.0000 0.0000 0.0000
Tl 0.5000 0.5000 0.5000
Zn 0.0000 0.5000 0.2119
Zn 0.5000 0.0000 0.7119
Si 0.0000 0.0000 0.4868
Si 0.0000 0.5000 0.8030
Si 0.5000 0.0000 0.3030
Si 0.5000 0.5000 0.9868



12.
NdGd2Pa | PBE | relaxed

Results
- DFT formation energy: 0.122 eV/atom
- Energy above the most stable polymorph in this dataset: 0.0 meV per atom
- DFT total energy: -41.9 eV/f.u.
- Total magnetization: 13.7 μB per formula unit

Lattice parameters (Å, degrees): 3.4377 3.4377 10.3098 90.00 90.00 90.00
Fractional coordinates of all 4 atoms:
Nd 0.0000 0.0000 0.0000
Gd 0.5000 0.5000 0.2737
Gd 0.5000 0.5000 0.7263
Pa 0.0000 0.0000 0.5000



13.
CsReF3 | PBE | relaxed

Results
- Energy above the most stable polymorph in this dataset: 1292.8 meV per atom
- DFT total energy: -18.9 eV/f.u.
- Total magnetization: 6.1 μB per formula unit
- Formation energy (no corrections): 0.01 eV/atom

Lattice parameters (Å, degrees): 5.1577 5.1577 5.1577 90.00 90.00 90.00
Fractional coordinates of all 5 atoms:
Cs 0.0000 0.0000 0.0000
Re 0.5000 0.5000 0.5000
F 0.0000 0.0000 0.5000
F 0.0000 0.5000 0.0000
F 0.5000 0.0000 0.0000



14.
Th3Al7Tc2 | PBE | relaxed

Results
- DFT formation energy: -0.385 eV/atom
- DFT total energy: -73.8 eV/f.u.
- Total magnetization: 0.0 μB per formula unit

Lattice parameters (Å, degrees): 9.5322 9.5322 9.5322 33.76 33.76 33.76
Fractional coordinates of all 12 atoms:
Th 0.0000 0.0000 0.0000
Th 0.1495 0.1495 0.1495
Th 0.8505 0.8505 0.8505
Al 0.0710 0.5800 0.5800
Al 0.4200 0.4200 0.9290
Al 0.4200 0.9290 0.4200
Al 0.5000 0.5000 0.5000
Al 0.5800 0.0710 0.5800
Al 0.5800 0.5800 0.0710
Al 0.9290 0.4200 0.4200
Tc 0.3354 0.3354 0.3354
Tc 0.6646 0.6646 0.6646



15.
RbPrCdSe3 | PBE | relaxed

Results
- DFT total energy: -25.1 eV/f.u.
- Total magnetization: 0.0 μB per formula unit
- Formation energy (no corrections): -1.33 eV/atom

Lattice parameters (Å, degrees): 9.4059 4.4047 10.4560 90.00 107.23 90.00
Fractional coordinates of all 12 atoms:
Rb 0.2107 0.2500 0.2338
Rb 0.7893 0.7500 0.7662
Pr 0.3285 0.7500 0.8622
Pr 0.6715 0.2500 0.1378
Cd 0.0854 0.2500 0.6099
Cd 0.9146 0.7500 0.3901
Se 0.1085 0.2500 0.8666
Se 0.2145 0.7500 0.5392
Se 0.4628 0.7500 0.1536
Se 0.5372 0.2500 0.8464
Se 0.7855 0.2500 0.4608
Se 0.8915 0.7500 0.1334



16.
Ca2ReSe | PBE | relaxed

Results
- DFT total energy: -18.4 eV/f.u.
- Total magnetization: 2.1 μB per formula unit
- Formation energy (no corrections): 0.39 eV/atom

Lattice parameters (Å, degrees): 7.9120 7.9120 6.2523 90.00 90.00 90.00
Fractional coordinates of all 16 atoms:
Ca 0.2379 0.2500 0.1250
Ca 0.2500 0.7379 0.3750
Ca 0.2500 0.7621 0.8750
Ca 0.2621 0.2500 0.6250
Ca 0.7379 0.7500 0.6250
Ca 0.7500 0.2379 0.8750
Ca 0.7500 0.2621 0.3750
Ca 0.7621 0.7500 0.1250
Re 0.0000 0.0000 0.5000
Re 0.0000 0.5000 0.7500
Re 0.5000 0.0000 0.2500
Re 0.5000 0.5000 0.0000
Se 0.0000 0.0000 0.0000
Se 0.0000 0.5000 0.2500
Se 0.5000 0.0000 0.7500
Se 0.5000 0.5000 0.5000



17.
NaW3I | PBE | relaxed

Results
- Energy above the most stable polymorph in this dataset: 0.0 meV per atom
- DFT total energy: -28.2 eV/f.u.
- Total magnetization: 0.0 μB per formula unit
- Formation energy (no corrections): 2.70 eV/atom

Lattice parameters (Å, degrees): 4.9386 4.9386 4.9386 90.00 90.00 90.00
Fractional coordinates of all 5 atoms:
Na 0.0000 0.0000 0.0000
W 0.0000 0.5000 0.5000
W 0.5000 0.0000 0.5000
W 0.5000 0.5000 0.0000
I 0.5000 0.5000 0.5000



18.
LaMg2Co | PBE | relaxed

Results
- DFT formation energy: 0.356 eV/atom
- DFT total energy: -13.8 eV/f.u.
- Total magnetization: 0.5 μB per formula unit

Lattice parameters (Å, degrees): 5.4848 10.3975 3.0910 90.00 90.00 90.00
Fractional coordinates of all 8 atoms:
La 0.0000 0.0000 0.0000
La 0.5000 0.5000 0.0000
Mg 0.2500 0.2500 0.5000
Mg 0.2500 0.7500 0.5000
Mg 0.7500 0.2500 0.5000
Mg 0.7500 0.7500 0.5000
Co 0.0000 0.5000 0.0000
Co 0.5000 0.0000 0.0000



19.
CsCd2Ir | PBE | relaxed

Results
- DFT formation energy: 0.769 eV/atom
- Energy above the most stable polymorph in this dataset: 405.3 meV per atom
- DFT total energy: -8.5 eV/f.u.
- Total magnetization: 0.0 μB per formula unit

Lattice parameters (Å, degrees): 7.4876 7.4876 7.4876 90.00 90.00 90.00
Fractional coordinates of all 16 atoms:
Cs 0.0000 0.0000 0.0000
Cs 0.0000 0.5000 0.5000
Cs 0.5000 0.0000 0.5000
Cs 0.5000 0.5000 0.0000
Cd 0.2500 0.2500 0.2500
Cd 0.2500 0.2500 0.7500
Cd 0.2500 0.7500 0.2500
Cd 0.2500 0.7500 0.7500
Cd 0.7500 0.2500 0.2500
Cd 0.7500 0.2500 0.7500
Cd 0.7500 0.7500 0.2500
Cd 0.7500 0.7500 0.7500
Ir 0.0000 0.0000 0.5000
Ir 0.0000 0.5000 0.0000
Ir 0.5000 0.0000 0.0000
Ir 0.5000 0.5000 0.5000



20.
AcSm12Dy7 | PBE | relaxed

Results
- DFT formation energy: 0.644 eV/atom
- Energy above the most stable polymorph in this dataset: 418.3 meV per atom
- DFT total energy: -80.1 eV/f.u.
- Total magnetization: 0.0 μB per formula unit

Lattice parameters (Å, degrees): 9.9829 9.9829 9.9829 109.47 109.47 109.47
Fractional coordinates of all 20 atoms:
Ac 0.0000 0.0000 0.0000
Sm 0.0000 0.2603 0.7397
Sm 0.0000 0.7397 0.2603
Sm 0.2603 0.0000 0.7397
Sm 0.2603 0.2603 0.5207
Sm 0.2603 0.5207 0.2603
Sm 0.2603 0.7397 0.0000
Sm 0.4793 0.7397 0.7397
Sm 0.5207 0.2603 0.2603
Sm 0.7397 0.0000 0.2603
Sm 0.7397 0.2603 0.0000
Sm 0.7397 0.4793 0.7397
Sm 0.7397 0.7397 0.4793
Dy 0.0000 0.0000 0.5000
Dy 0.0000 0.5000 0.0000
Dy 0.0000 0.5000 0.5000
Dy 0.5000 0.0000 0.0000
Dy 0.5000 0.0000 0.5000
Dy 0.5000 0.5000 0.0000
Dy 0.5000 0.5000 0.5000